# PBE NaZrCo2, optimized geometry
# - ΔH_f (0 K) (eV/atom) = 0.4050
# - V (Å³/cell) = 246.3
# - relative energy among the computed polymorphs (meV per atom) = 0
data_NaZrCo2
_symmetry_space_group_name_H-M 'F m -3 m'
_symmetry_Int_Tables_number 225
_symmetry_space_group_name_Hall '-F 4 2 3'
_cell_length_a 6.2679
_cell_length_b 6.2679
_cell_length_c 6.2679
_cell_angle_alpha 90.00
_cell_angle_beta 90.00
_cell_angle_gamma 90.00
loop_
_atom_site_label
_atom_site_fract_x
_atom_site_fract_y
_atom_site_fract_z
Na1 0.0000 0.0000 0.0000
Zr1 0.0000 0.0000 0.5000
Co1 0.2500 0.2500 0.2500

# PBE GdUCo, optimized geometry
# - ΔH_f (0 K) (eV/atom) = 0.0480
# - V (Å³/cell) = 126.5
data_GdUCo
_symmetry_space_group_name_H-M 'I 4 m m'
_symmetry_Int_Tables_number 107
_symmetry_space_group_name_Hall 'I 4 -2'
_cell_length_a 3.3861
_cell_length_b 3.3861
_cell_length_c 11.0312
_cell_angle_alpha 90.00
_cell_angle_beta 90.00
_cell_angle_gamma 90.00
loop_
_atom_site_label
_atom_site_fract_x
_atom_site_fract_y
_atom_site_fract_z
Gd1 0.0000 0.0000 0.0000
U1 0.0000 0.0000 0.7127
Co1 0.0000 0.0000 0.2959

# PBE ScAlPb2, optimized geometry
# - ΔH_f (0 K) (eV/atom) = -0.0855
# - V (Å³/cell) = 97.4
data_ScAlPb2
_symmetry_space_group_name_H-M 'P 4/m m m'
_symmetry_Int_Tables_number 123
_symmetry_space_group_name_Hall '-P 4 2'
_cell_length_a 4.7499
_cell_length_b 4.7499
_cell_length_c 4.3184
_cell_angle_alpha 90.00
_cell_angle_beta 90.00
_cell_angle_gamma 90.00
loop_
_atom_site_label
_atom_site_fract_x
_atom_site_fract_y
_atom_site_fract_z
Sc1 0.0000 0.0000 0.0000
Al1 0.5000 0.5000 0.0000
Pb1 0.0000 0.5000 0.5000

It is found that the magnetic moment values, taken in the order of the records, are 0.001; 13.564; 0.000 μB per cell.
It is found that the total energy values, taken in the order of the records, are -89.84; -64.66; -17.83 eV for the cell shown.